Density functional theory data (PBE-GGA) for a relaxed structure of ZrNbReRh.

```
data_ZrNbReRh
_space_group_name_H-M_alt 'P 1'
_space_group_IT_number 1
_cell_length_a 4.598
_cell_length_b 4.598
_cell_length_c 4.598
_cell_angle_alpha 60.00
_cell_angle_beta 60.00
_cell_angle_gamma 60.00
loop_
_space_group_symop_operation_xyz
'x,y,z'
loop_
_atom_site_label
_atom_site_fract_x
_atom_site_fract_y
_atom_site_fract_z
Zr1 0.000 0.000 0.000
Nb1 0.500 0.500 0.500
Re1 0.250 0.250 0.250
Rh1 0.750 0.750 0.750
```

Calculated values
As for the density of states at the Fermi level: 0.8886 states/eV per atom. The energy of formation is -0.379 eV per atom. The space-group type is F-43m. Its total DFT energy (no corrections) is -9.98 eV per atom.